Entry 1:
PBE-GGA CuIrAu2, relaxed; energy relative to the lowest polymorph listed for this composition = 46.0 kJ/mol of formula units; energy of formation = 0.29 eV/atom
1.0
4.867 -0.003 0.013
4.063 2.679 0.013
0.872 0.261 4.864
Au Cu Ir
2 1 1
direct
0.001 0.001 0.997 Au
0.499 0.499 0.503 Au
0.750 0.750 0.750 Cu
0.250 0.250 0.250 Ir

Entry 2:
PBE-GGA MgCuIrAu, relaxed; energy of formation = -0.12 eV/atom
1.0
-2.331 1.046 3.581
-2.261 -3.110 2.138
1.335 -1.355 3.967
Au Ir Mg Cu
1 1 1 1
direct
0.500 0.500 0.500 Au
0.000 0.000 0.000 Ir
0.750 0.750 0.750 Mg
0.250 0.250 0.250 Cu

Entry 3:
PBE-GGA NbCuIrAu2, relaxed; energy of formation = 1.37 eV/atom
1.0
5.129 0.000 0.000
0.000 4.731 0.000
0.000 0.000 5.129
Au Cu Nb Ir
2 1 1 1
direct
0.500 0.000 0.000 Au
0.000 0.000 0.500 Au
0.500 0.500 0.500 Cu
0.000 0.000 0.000 Nb
0.000 0.500 0.000 Ir

Entry 4:
PBE-GGA CuIrAu2O, relaxed; energy relative to the elements, uncorrected = 1627 meV/atom
1.0
-0.248 -0.702 4.662
4.079 -2.153 -0.108
2.192 4.116 0.737
Au Ir O Cu
2 1 1 1
direct
0.000 0.000 0.500 Au
0.500 0.000 0.000 Au
0.000 0.500 0.000 Ir
0.500 0.500 0.500 O
0.000 0.000 0.000 Cu

Entry 5:
PBE-GGA CuIr2RuAu, relaxed; energy of formation = 1.63 eV/atom
1.0
4.510 0.000 0.000
0.000 4.445 0.000
0.000 0.000 4.510
Ir Au Cu Ru
2 1 1 1
direct
0.000 0.000 0.500 Ir
0.500 0.000 0.000 Ir
0.500 0.500 0.500 Au
0.000 0.000 0.000 Cu
0.000 0.500 0.000 Ru

Entry 6:
PBE-GGA Cu2SnIrAu, relaxed; energy of formation = 1.44 eV/atom
1.0
4.657 0.000 0.000
0.000 5.035 0.000
0.000 0.000 4.657
Ir Cu Au Sn
1 2 1 1
direct
0.500 0.500 0.500 Ir
0.500 0.000 0.000 Cu
0.000 0.000 0.500 Cu
0.000 0.500 0.000 Au
0.000 0.000 0.000 Sn

Entry 7:
PBE-GGA Th2CuIrAu, relaxed; energy of formation = -0.60 eV/atom
1.0
-1.094 0.566 4.124
1.791 -6.821 1.412
6.399 4.152 1.127
Ir Cu Au Th
2 2 2 4
direct
0.250 0.868 0.902 Ir
0.750 0.132 0.098 Ir
0.750 0.458 0.350 Cu
0.250 0.542 0.650 Cu
0.750 0.310 0.654 Au
0.250 0.690 0.346 Au
0.250 0.144 0.352 Th
0.750 0.856 0.648 Th
0.750 0.713 0.065 Th
0.250 0.287 0.935 Th

Entry 8:
PBE-GGA ZnCuIrAu, relaxed; energy of formation = 0.00 eV/atom
1.0
4.342 0.000 0.000
2.171 3.760 0.000
2.171 1.253 3.545
Au Cu Zn Ir
1 1 1 1
direct
0.500 0.500 0.500 Au
0.250 0.250 0.250 Cu
0.750 0.750 0.750 Zn
0.000 0.000 0.000 Ir

Entry 9:
PBE-GGA KCu2Au, relaxed; energy relative to the lowest polymorph listed for this composition = 135.2 kJ/mol of formula units; energy of formation = 0.32 eV/atom
1.0
6.161 0.002 0.004
3.049 5.354 -0.004
-3.699 -4.236 2.517
Au Cu K
1 2 1
direct
0.250 0.750 0.500 Au
0.040 0.040 0.000 Cu
0.460 0.460 0.000 Cu
0.750 0.250 0.500 K

Entry 10:
PBE-GGA KCu2Au, relaxed; energy relative to the lowest polymorph listed for this composition = 98.7 kJ/mol of formula units; energy of formation = 0.23 eV/atom
1.0
-0.897 2.561 0.873
-2.170 -1.753 2.915
5.568 0.447 4.414
Cu K Au
2 1 1
direct
0.000 0.000 0.919 Cu
0.000 0.000 0.581 Cu
0.500 0.500 0.250 K
0.500 0.500 0.750 Au

Entry 11:
PBE-GGA KCu4Au, relaxed; energy of formation = 0.18 eV/atom
1.0
-4.358 -2.760 -0.121
-1.701 -2.325 4.281
-4.230 1.752 2.380
Cu Au K
4 1 1
direct
0.879 0.374 0.374 Cu
0.374 0.374 0.374 Cu
0.374 0.879 0.374 Cu
0.374 0.374 0.879 Cu
0.000 0.000 0.000 Au
0.750 0.750 0.750 K

Entry 12:
PBE-GGA KCuAu, relaxed; energy relative to the lowest polymorph listed for this composition = 0.0 kJ/mol of formula units; energy of formation = -0.03 eV/atom
1.0
4.713 0.000 0.000
0.000 4.713 0.000
0.000 0.000 7.039
Au Cu K
2 2 2
direct
0.000 0.500 0.342 Au
0.500 0.000 0.658 Au
0.500 0.500 0.500 Cu
0.000 0.000 0.500 Cu
0.000 0.500 0.839 K
0.500 0.000 0.161 K